{
  "formula": "TaFe2Pt",
  "functional": "GGA-PBE",
  "state": "optimized geometry",
  "magnetic_moment_mub_per_cell": 3.65,
  "vol_a3_per_atom": 14.07,
  "polymorph_energy_ev_per_atom": 0.010,
  "dft_energy_ev_per_atom": -9.021,
  "lattice": [[-1.886, 1.886, 3.954], [1.886, -1.886, 3.954], [1.886, 1.886, -3.954]],
  "species": ["Ta", "Fe", "Fe", "Pt"],
  "frac_coords": [[0.000, 0.000, 0.000], [0.500, 0.500, 0.000], [0.750, 0.250, 0.500], [0.250, 0.750, 0.500]]
}